Sr3V2O6 | GGA+U | optimized geometry

Geometry as POSCAR:
```
Sr3V2O6
1.0
-0.169 -0.345 -3.936
3.690 -1.421 -0.034
-5.396 -8.579 2.970
O Sr V
6 3 2
Direct
0.084 0.584 0.168
0.304 0.304 0.607
0.916 0.416 0.832
0.416 0.916 0.832
0.584 0.084 0.168
0.696 0.696 0.393
0.184 0.184 0.369
0.816 0.816 0.631
0.000 0.000 0.000
0.599 0.599 0.197
0.401 0.401 0.803
```

Calculated values
Raw total energy   -76.62 eV/cell
Symmetry   No. 139